DFT (GGA-PBE) results for a geometry-optimized Rb2ScCuBr6 structure.

Size of the total moment, Bohr magnetons per cell: 0.00
Volume, A^3/atom: 30.74
Uncorrected energy, eV/atom: -3.614

a b c (Å): 13.1196 7.5767 7.5751
angles (deg): 90.00 125.26 90.00
Closest atoms and distances in Å follow each position.
Space group C2/m (No. 12)
Inequivalent atoms, fractional coordinates:
Rb: 0.2502 0.0000 0.2500 [4 per cell]  12 Br 3.78-3.80
Sc: 0.0000 0.0000 0.5000 [2 per cell]  6 Br 2.67
Cu: 0.0000 0.5000 0.0000 [2 per cell]  6 Br 2.69
Br: 0.0006 0.2491 0.2514 [8 per cell]  1 Sc 2.67, 1 Cu 2.69
Br: 0.2491 0.0000 0.7503 [4 per cell]  1 Sc 2.67, 1 Cu 2.69

=====

DFT (GGA-PBE) results for a geometry-optimized BaLiCdAu2 structure.

Volume, A^3/atom: 25.16
Uncorrected energy, eV/atom: -2.826

a b c (Å): 4.4339 4.4339 12.7964
angles (deg): 90.00 90.00 90.00
Closest atoms and distances in Å follow each position.
Space group I-4m2 (No. 119)
Inequivalent atoms, fractional coordinates:
Ba: 0.0000 0.0000 0.0000 [2 per cell]  8 Au 3.45
Li: 0.0000 0.5000 0.7500 [2 per cell]  4 Au 2.83, 4 Cd 3.14
Cd: 0.0000 0.5000 0.2500 [2 per cell]  4 Au 2.83, 4 Li 3.14
Au: 0.0000 0.0000 0.3879 [4 per cell]  2 Cd 2.83, 2 Li 2.83, 1 Au 2.87

=====

DFT (GGA-PBE) results for a geometry-optimized Li3Pr3Si2Ge structure.

Size of the total moment, Bohr magnetons per cell: 0.00
Volume, A^3/atom: 22.47
Uncorrected energy, eV/atom: -4.537

a b c (Å): 7.3118 7.3118 4.3687
angles (deg): 90.00 90.00 120.00
Closest atoms and distances in Å follow each position.
Space group P-62m (No. 189)
Inequivalent atoms, fractional coordinates:
Li: 0.0000 0.2347 0.0000 [3 per cell]  2 Ge 2.78, 2 Si 2.87, 2 Li 2.97
Pr: 0.0000 0.5805 0.5000 [3 per cell]  1 Ge 3.07, 4 Si 3.09, 2 Li 3.34
Si: 0.3333 0.6667 0.0000 [2 per cell]  3 Li 2.87, 6 Pr 3.09
Ge: 0.0000 0.0000 0.5000 [1 per cell]  6 Li 2.78, 3 Pr 3.07

=====

DFT (GGA-PBE) results for a geometry-optimized BaCu2Bi4 structure.

Volume, A^3/atom: 32.13
Uncorrected energy, eV/atom: -3.650

a b c (Å): 7.0602 10.2167 24.9434
angles (deg): 90.00 90.00 90.00
Closest atoms and distances in Å follow each position.
Space group Fddd (No. 70, origin choice 2)
Inequivalent atoms, fractional coordinates:
Ba: 0.1250 0.1250 0.1250 [8 per cell]  8 Bi 3.72-3.92, 6 Cu 3.85-3.95
Cu: 0.1250 0.1250 0.2835 [16 per cell]  2 Bi 2.60
Bi: 0.0542 0.2748 0.6863 [32 per cell]  1 Cu 2.60

=====

DFT (GGA-PBE) results for a geometry-optimized K4Cu2SbP structure.

Volume, A^3/atom: 29.56
Uncorrected energy, eV/atom: -3.001

a b c (Å): 6.1095 10.2160 7.5779
angles (deg): 90.00 90.00 90.00
Closest atoms and distances in Å follow each position.
Space group Amm2 (No. 38)
Inequivalent atoms, fractional coordinates:
K: 0.0000 0.1619 0.0000 [4 per cell]  1 K 3.31, 2 Cu 3.42, 2 Sb 3.49-3.67, 2 P 3.54
K: 0.5000 0.1758 0.2995 [4 per cell]  2 P 3.42-3.44, 5 K 3.59-3.81, 4 Cu 3.63-3.69, 2 Sb 3.68
Cu: 0.2820 0.0000 0.6771 [4 per cell]  1 P 2.23
Sb: 0.0000 0.0000 0.4318 [2 per cell]  2 Cu 2.53
P: 0.5000 0.0000 0.9123 [2 per cell]  2 Cu 2.23

=====

DFT (GGA-PBE) results for a geometry-optimized TbGaO3 structure.

Size of the total moment, Bohr magnetons per cell: 0.01
Volume, A^3/atom: 12.70
Uncorrected energy, eV/atom: -7.048

a b c (Å): 5.4877 8.3865 5.5185
angles (deg): 90.00 90.00 90.00
Closest atoms and distances in Å follow each position.
Space group Pnma (No. 62)
Inequivalent atoms, fractional coordinates:
Tb: 0.0000 0.0000 0.0000 [4 per cell]  6 O 2.22-2.44
Ga: 0.0029 0.2500 0.4766 [4 per cell]  4 O 1.83-2.02
O: 0.1456 0.0863 0.6444 [8 per cell]  1 Ga 1.83
O: 0.1701 0.2500 0.1500 [4 per cell]  2 Ga 1.96-2.02